1.
The following is a PBE-GGA calculation of a geometry-optimized Ta6Mn7 structure, from Alexandria.

ΔE_f (eV per atom): -0.19
Magnetization (μB per formula unit): 1.28
Uncorrected energy (eV per cell): -413.14

Cell: 4.8591 4.8591 27.0082 Å, 90.00 90.00 120.00°
Space group R-3m (No. 166, hexagonal axes)
Symmetry-distinct sites (fractional):
Ta1 0.0000 0.0000 0.0495 (multiplicity 6)
Ta2 0.0000 0.0000 0.1519 (multiplicity 6)
Ta3 0.0000 0.0000 0.3335 (multiplicity 6)
Mn1 0.0000 0.0000 0.5000 (multiplicity 3)
Mn2 0.0042 0.5021 0.9073 (multiplicity 18)

=====

2.
The following is a PBE-GGA calculation of a geometry-optimized Ta5Mn4 structure, from Alexandria.

ΔE_f (eV per atom): 0.09
Energy above the most stable polymorph in this dataset (eV per atom): 0.0000
Magnetization (μB per formula unit): 0.00
Uncorrected energy (eV per cell): -190.22

Cell: 7.7047 7.7047 5.3059 Å, 90.00 90.00 120.00°
Space group P6_3/mcm (No. 193)
Symmetry-distinct sites (fractional):
Ta1 0.0000 0.2795 0.2500 (multiplicity 6)
Ta2 0.3333 0.6667 0.0000 (multiplicity 4)
Mn1 0.0000 0.0000 0.0000 (multiplicity 2)
Mn2 0.0000 0.3911 0.7500 (multiplicity 6)

=====

3.
The following is a PBE-GGA calculation of a geometry-optimized Ta3Mn4 structure, from Alexandria.

ΔE_f (eV per atom): 0.04
Energy above the most stable polymorph in this dataset (eV per atom): 0.0000
Magnetization (μB per formula unit): 2.87
Uncorrected energy (eV per cell): -143.88

Cell: 3.0678 3.0678 21.2203 Å, 90.00 90.00 90.00°
Space group I4/mmm (No. 139)
Symmetry-distinct sites (fractional):
Ta1 0.0000 0.0000 0.0000 (multiplicity 2)
Ta2 0.0000 0.0000 0.2938 (multiplicity 4)
Mn1 0.0000 0.0000 0.1385 (multiplicity 4)
Mn2 0.0000 0.0000 0.4296 (multiplicity 4)

=====

4.
The following is a PBE-GGA calculation of a geometry-optimized Ta3Mn structure, from Alexandria.

ΔE_f (eV per atom): 0.02
Magnetization (μB per formula unit): 0.00
Uncorrected energy (eV per cell): -89.31

Cell: 3.2687 4.6686 8.6496 Å, 90.00 90.00 90.00°
Space group Cmmm (No. 65)
Symmetry-distinct sites (fractional):
Ta1 0.0000 0.0000 0.0000 (multiplicity 2)
Ta2 0.0000 0.5000 0.2749 (multiplicity 4)
Mn1 0.0000 0.0000 0.5000 (multiplicity 2)

=====

5.
The following is a PBE-GGA calculation of a geometry-optimized Ta2Mn3 structure, from Alexandria.

ΔE_f (eV per atom): 0.02
Energy above the most stable polymorph in this dataset (eV per atom): 0.0000
Magnetization (μB per formula unit): 0.02
Uncorrected energy (eV per cell): -408.73

Cell: 8.7657 12.7348 5.0467 Å, 90.00 90.00 90.00°
Space group Fdd2 (No. 43)
Symmetry-distinct sites (fractional):
Ta1 0.0844 0.2993 0.0000 (multiplicity 16)
Mn1 0.0000 0.0000 0.2843 (multiplicity 8)
Mn2 0.0723 0.3740 0.4988 (multiplicity 16)

=====

6.
The following is a PBE-GGA calculation of a geometry-optimized Ta3Mn structure, from Alexandria.

ΔE_f (eV per atom): 0.24
Magnetization (μB per formula unit): 2.79
Uncorrected energy (eV per cell): -43.78

Cell: 4.1138 4.1138 4.1138 Å, 90.00 90.00 90.00°
Space group Pm-3m (No. 221)
Symmetry-distinct sites (fractional):
Ta1 0.0000 0.0000 0.5000 (multiplicity 3)
Mn1 0.5000 0.5000 0.5000 (multiplicity 1)

=====

7.
The following is a PBE-GGA calculation of a geometry-optimized TaMn4 structure, from Alexandria.

ΔE_f (eV per atom): 0.16
Energy above the most stable polymorph in this dataset (eV per atom): 0.0000
Magnetization (μB per formula unit): 0.47
Uncorrected energy (eV per cell): -95.44

Cell: 5.8236 5.8236 3.6530 Å, 90.00 90.00 90.00°
Space group I4/m (No. 87)
Symmetry-distinct sites (fractional):
Ta1 0.0000 0.0000 0.0000 (multiplicity 2)
Mn1 0.0843 0.6865 0.5000 (multiplicity 8)

=====

8.
The following is a PBE-GGA calculation of a geometry-optimized TaMn2 structure, from Alexandria.

ΔE_f (eV per atom): 0.45
Magnetization (μB per formula unit): 3.00
Uncorrected energy (eV per cell): -115.39

Cell: 4.7228 4.7228 8.0420 Å, 90.00 90.00 90.00°
Space group I4/mcm (No. 140)
Symmetry-distinct sites (fractional):
Ta1 0.0000 0.0000 0.2500 (multiplicity 4)
Mn1 0.1848 0.3152 0.0000 (multiplicity 8)

=====

9.
The following is a PBE-GGA calculation of a geometry-optimized Ta5Mn4 structure, from Alexandria.

ΔE_f (eV per atom): 0.13
Energy above the most stable polymorph in this dataset (eV per atom): 0.0421
Magnetization (μB per formula unit): 0.59
Uncorrected energy (eV per cell): -189.46

Cell: 9.2663 9.2663 3.1577 Å, 90.00 90.00 90.00°
Space group I4/mmm (No. 139)
Symmetry-distinct sites (fractional):
Ta1 0.0000 0.0000 0.0000 (multiplicity 2)
Ta2 0.1685 0.1685 0.5000 (multiplicity 8)
Mn1 0.0000 0.3460 0.0000 (multiplicity 8)

=====

10.
The following is a PBE-GGA calculation of a geometry-optimized TaMn2 structure, from Alexandria.

ΔE_f (eV per atom): 0.74
Magnetization (μB per formula unit): 4.52
Uncorrected energy (eV per cell): -27.97

Cell: 3.9833 3.9833 3.2300 Å, 90.00 90.00 90.00°
Space group P4/mmm (No. 123)
Symmetry-distinct sites (fractional):
Ta1 0.0000 0.0000 0.0000 (multiplicity 1)
Mn1 0.0000 0.5000 0.5000 (multiplicity 2)

=====

11.
The following is a PBE-GGA calculation of a geometry-optimized Ta4Mn structure, from Alexandria.

ΔE_f (eV per atom): 0.80
Energy above the most stable polymorph in this dataset (eV per atom): 0.8608
Magnetization (μB per formula unit): 0.00
Uncorrected energy (eV per cell): -105.11

Cell: 5.7968 5.7968 5.7968 Å, 90.00 90.00 90.00°
Space group Im-3m (No. 229)
Symmetry-distinct sites (fractional):
Ta1 0.2500 0.2500 0.2500 (multiplicity 8)
Mn1 0.0000 0.0000 0.0000 (multiplicity 2)

=====

12.
The following is a PBE-GGA calculation of a geometry-optimized TaMn3 structure, from Alexandria.

ΔE_f (eV per atom): 0.00
Magnetization (μB per formula unit): 2.09
Uncorrected energy (eV per cell): -39.37

Cell: 4.1641 4.1641 3.0285 Å, 90.00 90.00 90.00°
Space group P4/mmm (No. 123)
Symmetry-distinct sites (fractional):
Ta1 0.0000 0.0000 0.0000 (multiplicity 1)
Mn1 0.0000 0.5000 0.5000 (multiplicity 2)
Mn2 0.5000 0.5000 0.0000 (multiplicity 1)